Pm3Dy4Ag GGA-PBE relaxed; DOS at the Fermi energy = 9.58 states/eV per cell; space group = P4/mmm; E_form = -0.06 eV per atom
1.0
3.592 0.000 0.000
0.000 3.592 0.000
0.000 0.000 19.109
Pm Dy Ag
3 4 1
Direct
0.000 0.000 0.000 Pm
0.000 0.000 0.267 Pm
0.000 0.000 0.733 Pm
0.500 0.500 0.134 Dy
0.500 0.500 0.402 Dy
0.500 0.500 0.598 Dy
0.500 0.500 0.866 Dy
0.000 0.000 0.500 Ag

=====

Ti5V2Co12 GGA-PBE relaxed; DOS at the Fermi energy = 24.36 states/eV per cell; space group = C2/m; E_form = 0.15 eV per atom
1.0
7.503 -2.444 0.000
7.503 2.444 0.000
-3.285 0.000 6.902
Ti V Co
5 2 12
Direct
0.000 0.000 0.000 Ti
0.309 0.309 0.133 Ti
0.370 0.370 0.659 Ti
0.630 0.630 0.341 Ti
0.691 0.691 0.867 Ti
0.256 0.744 0.500 V
0.744 0.256 0.500 V
0.025 0.581 0.393 Co
0.083 0.601 0.894 Co
0.107 0.107 0.786 Co
0.399 0.917 0.106 Co
0.419 0.975 0.607 Co
0.468 0.468 0.158 Co
0.532 0.532 0.842 Co
0.581 0.025 0.393 Co
0.601 0.083 0.894 Co
0.893 0.893 0.214 Co
0.917 0.399 0.106 Co
0.975 0.419 0.607 Co

=====

TbSmCuAu GGA-PBE relaxed; DOS at the Fermi energy = 3.15 states/eV per cell; space group = F-43m; E_form = -0.51 eV per atom
1.0
0.000 3.593 3.593
3.593 0.000 3.593
3.593 3.593 0.000
Tb Sm Cu Au
1 1 1 1
Direct
0.000 0.000 0.000 Tb
0.500 0.500 0.500 Sm
0.750 0.750 0.750 Cu
0.250 0.250 0.250 Au

=====

TaPAu2 GGA-PBE relaxed; DOS at the Fermi energy = 1.62 states/eV per cell; space group = P4/mmm; E_form = 0.18 eV per atom
1.0
2.945 0.000 0.000
0.000 2.945 0.000
0.000 0.000 8.044
Ta P Au
1 1 2
Direct
0.000 0.000 0.000 Ta
0.000 0.000 0.500 P
0.500 0.500 0.249 Au
0.500 0.500 0.751 Au

=====

LiLaBr2 GGA-PBE relaxed; DOS at the Fermi energy = 1.35 states/eV per cell; space group = Imm2; ΔE_f (raw) = -27.66 kcal/mol of atoms
1.0
-1.877 1.908 7.729
1.877 -1.908 7.729
1.877 1.908 -7.729
Li La Br
1 1 2
Direct
0.000 0.000 0.000 Li
0.697 0.197 0.500 La
0.310 0.810 0.500 Br
0.529 0.529 0.000 Br

=====

BaIrRh2 GGA-PBE relaxed; DOS at the Fermi energy = 5.77 states/eV per cell; space group = R-3m; E_form = 0.73 eV per atom
1.0
1.486 0.858 9.801
-1.486 0.858 9.801
0.000 -1.716 9.801
Ba Ir Rh
1 1 2
Direct
0.000 0.000 0.000 Ba
0.500 0.500 0.500 Ir
0.237 0.237 0.237 Rh
0.763 0.763 0.763 Rh

=====

Cd2CuRh GGA-PBE relaxed; DOS at the Fermi energy = 1.46 states/eV per cell; space group = I-42d; E_form = 0.24 eV per atom
1.0
-3.627 3.627 2.756
3.627 -3.627 2.756
3.627 3.627 -2.756
Cd Cu Rh
4 2 2
Direct
0.112 0.625 0.987 Cd
0.375 0.362 0.487 Cd
0.638 0.125 0.013 Cd
0.875 0.888 0.513 Cd
0.000 0.000 0.000 Cu
0.750 0.250 0.500 Cu
0.250 0.750 0.500 Rh
0.500 0.500 0.000 Rh

=====

DyGeS3 GGA-PBE relaxed; DOS at the Fermi energy = 2.04 states/eV per cell; space group = Pna2_1; ΔE_f (raw) = -24.17 kcal/mol of atoms
1.0
6.923 0.000 0.000
0.000 6.608 0.000
0.000 0.000 10.859
Dy Ge S
4 4 12
Direct
0.101 0.067 0.000 Dy
0.399 0.567 0.500 Dy
0.601 0.433 0.000 Dy
0.899 0.933 0.500 Dy
0.082 0.540 0.164 Ge
0.418 0.040 0.664 Ge
0.582 0.960 0.164 Ge
0.918 0.460 0.664 Ge
0.096 0.674 0.356 S
0.158 0.242 0.557 S
0.158 0.752 0.662 S
0.342 0.252 0.162 S
0.342 0.742 0.057 S
0.404 0.174 0.856 S
0.596 0.826 0.356 S
0.658 0.258 0.557 S
0.658 0.748 0.662 S
0.842 0.248 0.162 S
0.842 0.758 0.057 S
0.904 0.326 0.856 S

=====

Ba2SrLi2 GGA-PBE relaxed; DOS at the Fermi energy = 6.78 states/eV per cell; space group = I4/mmm; E_form = 0.09 eV per atom
1.0
-2.093 2.093 13.020
2.093 -2.093 13.020
2.093 2.093 -13.020
Ba Sr Li
2 1 2
Direct
0.130 0.130 0.000 Ba
0.870 0.870 0.000 Ba
0.500 0.500 0.000 Sr
0.250 0.750 0.500 Li
0.750 0.250 0.500 Li

=====

Dy4Mg3Ni GGA-PBE relaxed; DOS at the Fermi energy = 8.23 states/eV per cell; space group = P4/mmm; E_form = -0.15 eV per atom
1.0
3.491 0.000 0.000
0.000 3.491 0.000
0.000 0.000 16.604
Dy Mg Ni
4 3 1
Direct
0.000 0.000 0.096 Dy
0.000 0.000 0.367 Dy
0.000 0.000 0.633 Dy
0.000 0.000 0.904 Dy
0.500 0.500 0.234 Mg
0.500 0.500 0.500 Mg
0.500 0.500 0.766 Mg
0.500 0.500 0.000 Ni

=====

SrCu2W GGA-PBE relaxed; DOS at the Fermi energy = 3.97 states/eV per cell; space group = C2/m; E_form = 0.71 eV per atom
1.0
3.527 -3.517 0.000
3.527 3.517 0.000
-0.013 0.000 2.843
Sr Cu W
1 2 1
Direct
0.000 0.000 0.000 Sr
0.000 0.500 0.500 Cu
0.500 0.000 0.500 Cu
0.500 0.500 0.000 W

=====

Be2CrNi GGA-PBE relaxed; DOS at the Fermi energy = 2.93 states/eV per cell; space group = C2/m; E_form = -0.01 eV per atom
1.0
2.400 -3.666 0.000
2.400 3.666 0.000
-0.684 0.000 2.223
Be Cr Ni
2 1 1
Direct
0.000 0.500 0.000 Be
0.500 0.000 0.000 Be
0.000 0.000 0.500 Cr
0.500 0.500 0.500 Ni

=====

Fe6Ni5Ir GGA-PBE relaxed; DOS at the Fermi energy = 11.26 states/eV per cell; space group = Cmmm; E_form = -0.05 eV per atom
1.0
1.804 -5.406 0.000
1.804 5.406 0.000
0.000 0.000 7.194
Fe Ni Ir
6 5 1
Direct
0.000 0.000 0.244 Fe
0.000 0.000 0.756 Fe
0.331 0.669 0.246 Fe
0.331 0.669 0.754 Fe
0.669 0.331 0.246 Fe
0.669 0.331 0.754 Fe
0.167 0.833 0.000 Ni
0.170 0.830 0.500 Ni
0.500 0.500 0.000 Ni
0.830 0.170 0.500 Ni
0.833 0.167 0.000 Ni
0.500 0.500 0.500 Ir

=====

CdIn2Hg4I2 GGA-PBE relaxed; DOS at the Fermi energy = 3.58 states/eV per cell; space group = P3m1; ΔE_f (raw) = -1.40 kcal/mol of atoms
1.0
4.016 0.000 0.000
-2.008 3.478 0.000
0.000 0.000 21.922
Cd In Hg I
1 2 4 2
Direct
0.000 0.000 0.000 Cd
0.000 0.000 0.628 In
0.667 0.333 0.342 In
0.000 0.000 0.232 Hg
0.000 0.000 0.438 Hg
0.667 0.333 0.532 Hg
0.667 0.333 0.737 Hg
0.667 0.333 0.089 I
0.667 0.333 0.912 I

=====

Pr2Sb3IrRh4 GGA-PBE relaxed; DOS at the Fermi energy = 9.64 states/eV per cell; space group = P-4m2; ΔE_f (raw) = -15.47 kcal/mol of atoms
1.0
4.412 0.000 0.000
0.000 4.412 0.000
0.000 0.000 10.782
Pr Sb Ir Rh
2 3 1 4
Direct
0.000 0.500 0.243 Pr
0.500 0.000 0.757 Pr
0.000 0.000 0.000 Sb
0.000 0.500 0.634 Sb
0.500 0.000 0.366 Sb
0.500 0.500 0.000 Ir
0.000 0.000 0.500 Rh
0.000 0.500 0.872 Rh
0.500 0.000 0.128 Rh
0.500 0.500 0.500 Rh

=====

TiCoB3 GGA-PBE relaxed; DOS at the Fermi energy = 4.23 states/eV per cell; space group = Pm-3m; E_form = 0.43 eV per atom
1.0
3.692 0.000 0.000
0.000 3.692 0.000
0.000 0.000 3.692
Ti Co B
1 1 3
Direct
0.000 0.000 0.000 Ti
0.500 0.500 0.500 Co
0.000 0.500 0.500 B
0.500 0.000 0.500 B
0.500 0.500 0.000 B

=====

TiVN GGA-PBE relaxed; DOS at the Fermi energy = 5.76 states/eV per cell; space group = Pnma; ΔE_f (raw) = -19.86 kcal/mol of atoms
1.0
8.243 0.000 0.000
0.000 3.056 0.000
0.000 0.000 5.319
Ti V N
4 4 4
Direct
0.114 0.250 0.133 Ti
0.386 0.750 0.633 Ti
0.614 0.250 0.367 Ti
0.886 0.750 0.867 Ti
0.120 0.250 0.624 V
0.380 0.750 0.124 V
0.620 0.250 0.876 V
0.880 0.750 0.376 V
0.170 0.750 0.870 N
0.330 0.250 0.370 N
0.670 0.750 0.630 N
0.830 0.250 0.130 N

=====

La4Tl2O GGA-PBE relaxed; DOS at the Fermi energy = 4.32 states/eV per cell; space group = I4/mmm; ΔE_f (raw) = -24.13 kcal/mol of atoms
1.0
-2.467 2.467 8.700
2.467 -2.467 8.700
2.467 2.467 -8.700
La Tl O
4 2 1
Direct
0.000 0.500 0.500 La
0.175 0.175 0.000 La
0.500 0.000 0.500 La
0.825 0.825 0.000 La
0.361 0.361 0.000 Tl
0.639 0.639 0.000 Tl
0.000 0.000 0.000 O

=====

AcMgCu GGA-PBE relaxed; DOS at the Fermi energy = 4.18 states/eV per cell; space group = C2/m; E_form = -0.14 eV per atom
1.0
5.460 -2.265 0.000
5.460 2.265 0.000
-4.179 0.000 6.358
Ac Mg Cu
2 2 2
Direct
0.074 0.074 0.322 Ac
0.926 0.926 0.678 Ac
0.304 0.304 0.916 Mg
0.696 0.696 0.084 Mg
0.366 0.366 0.326 Cu
0.634 0.634 0.674 Cu

=====

KCe2PaO8 GGA-PBE relaxed; space group = P2/m; ΔE_f (raw) = -68.53 kcal/mol of atoms
1.0
3.801 0.000 0.000
0.000 8.435 0.000
-0.136 0.000 5.478
K Ce Pa O
1 2 1 8
Direct
0.000 0.000 0.000 K
0.500 0.274 0.500 Ce
0.500 0.726 0.500 Ce
0.000 0.500 0.000 Pa
0.008 0.285 0.253 O
0.008 0.715 0.253 O
0.434 0.000 0.624 O
0.494 0.500 0.760 O
0.506 0.500 0.240 O
0.566 0.000 0.376 O
0.992 0.285 0.747 O
0.992 0.715 0.747 O